Entry 1:
VASP calculation (GGA-PBE) on crystalline LuZnInCo at its relaxed geometry.

```
LuZnInCo
1.0
0.000 3.277 3.277
3.277 0.000 3.277
3.277 3.277 0.000
Lu Zn In Co
1 1 1 1
direct
0.000 0.000 0.000 Lu
0.750 0.750 0.750 Zn
0.250 0.250 0.250 In
0.500 0.500 0.500 Co
```

## Properties
* magnetic moment: 0.0 μB per formula unit
* crystal system: cubic
* space-group type: F-43m, No. 216
* energy above the lowest structure with this stoichiometry: 0.098 eV/atom

Entry 2:
VASP calculation (GGA-PBE) on crystalline HfGaW2 at its relaxed geometry.

```
HfGaW2
1.0
0.000 3.236 3.236
3.236 0.000 3.236
3.236 3.236 0.000
Hf Ga W
1 1 2
direct
0.000 0.000 0.000 Hf
0.750 0.750 0.750 Ga
0.250 0.250 0.250 W
0.500 0.500 0.500 W
```

## Properties
* magnetic moment: 0.0 μB per formula unit
* crystal system: cubic
* space-group type: F-43m, No. 216
* E_tot: -38.6 eV for the cell shown

Entry 3:
VASP calculation (GGA-PBE) on crystalline SrTh at its relaxed geometry.

```
SrTh
1.0
3.700 0.000 0.000
-1.850 3.204 0.000
0.000 0.000 6.509
Sr Th
1 1
direct
0.000 0.000 0.000 Sr
0.667 0.333 0.500 Th
```

## Properties
* magnetic moment: 0.0 μB per formula unit
* crystal system: hexagonal
* space-group type: P-6m2, No. 187
* energy above the lowest structure with this stoichiometry: 0.000 eV/atom

Entry 4:
VASP calculation (GGA-PBE) on crystalline NaScSiNi at its relaxed geometry.

```
NaScSiNi
1.0
0.000 3.120 3.120
3.120 0.000 3.120
3.120 3.120 0.000
Na Sc Si Ni
1 1 1 1
direct
0.000 0.000 0.000 Na
0.750 0.750 0.750 Sc
0.250 0.250 0.250 Si
0.500 0.500 0.500 Ni
```

## Properties
* magnetic moment: 0.0 μB per formula unit
* crystal system: cubic
* space-group type: F-43m, No. 216
* energy above the lowest structure with this stoichiometry: 0.000 eV/atom

Entry 5:
VASP calculation (GGA-PBE) on crystalline PmOs at its relaxed geometry.

```
PmOs
1.0
3.317 0.000 0.000
-1.658 2.872 0.000
0.000 0.000 4.498
Pm Os
1 1
direct
0.000 0.000 0.000 Pm
0.333 0.667 0.500 Os
```

## Properties
* magnetic moment: 0.0 μB per formula unit
* formation enthalpy at 0 K: 0.62 eV per atom
* crystal system: hexagonal
* space-group type: P-6m2, No. 187

Entry 6:
VASP calculation (GGA-PBE) on crystalline Cu4Ag at its relaxed geometry.

```
Cu4Ag
1.0
6.774 -1.826 0.000
6.774 1.826 0.000
-1.071 0.000 5.270
Cu Ag
8 2
direct
0.001 0.001 0.269 Cu
0.199 0.199 0.835 Cu
0.205 0.205 0.362 Cu
0.400 0.400 0.451 Cu
0.600 0.600 0.549 Cu
0.795 0.795 0.638 Cu
0.801 0.801 0.165 Cu
0.999 0.999 0.731 Cu
0.396 0.396 0.947 Ag
0.604 0.604 0.053 Ag
```

## Properties
* formation enthalpy at 0 K: 0.07 eV per atom
* crystal system: monoclinic
* space-group type: C2/m, No. 12
* energy above the lowest structure with this stoichiometry: 0.022 eV/atom